This record from Alexandria via LeMat-Bulk describes a relaxed Cd2HgRu crystal. The functional is PBE.

**ΔH_f (0 K)**: 0.31 eV per atom
**Total moment**: 0.175 μB/atom
**Final energy**: -10.18 eV/cell
**SG**: I4/mmm (139)

Cell: 5.3306 5.3306 5.3306 Å, 134.37 134.37 66.51°
Fractional positions:
Cd1 0.2500 0.7500 0.5000
Cd2 0.7500 0.2500 0.5000
Hg1 0.0000 0.0000 0.0000
Ru1 0.5000 0.5000 0.0000